Record 1
Compound: PmLuGaIr
Source: the Alexandria database
Functional: PBE
Structure: relaxed

abc: 4.974 4.974 4.974
angles: 60.00 60.00 60.00
Positions (direct):
Ir  0.250  0.250  0.250
Lu  0.000  0.000  0.000
Pm  0.500  0.500  0.500
Ga  0.750  0.750  0.750

Computed properties:
Formation energy from the elements in eV per atom: -0.633
Fermi-level density of states in states/eV per cell: 2.78
Energy in eV per atom: -5.9226

=====

Record 2
Compound: LiGaSb2
Source: the Alexandria database
Functional: PBE
Structure: relaxed

abc: 3.325 3.325 10.888
angles: 81.22 81.22 60.00
Positions (direct):
Li  0.000  0.000  0.000
Sb  0.915  0.915  0.255
Ga  0.500  0.500  0.500
Sb  0.085  0.085  0.745

Computed properties:
Energy relative to the elements, uncorrected in eV per atom: 0.070
Fermi-level density of states in states/eV per cell: 2.13
Energy in eV per atom: -3.2266

=====

Record 3
Compound: Sc2AlGe
Source: the Alexandria database
Functional: PBE
Structure: relaxed

abc: 7.486 7.486 6.096
angles: 52.12 52.12 90.00
Positions (direct):
Al  0.250  0.750  0.500
Al  0.500  0.500  0.000
Sc  0.375  0.358  0.750
Ge  0.750  0.250  0.500
Sc  0.642  0.125  0.250
Ge  0.000  0.000  0.000
Sc  0.108  0.625  0.250
Sc  0.875  0.892  0.750

Computed properties:
Formation energy from the elements in eV per atom: -0.184
Fermi-level density of states in states/eV per cell: 3.93
Energy in eV per atom: -5.4398

=====

Record 4
Compound: LiAgF2
Source: the Alexandria database
Functional: PBE
Structure: relaxed

abc: 6.586 6.586 6.586
angles: 31.72 31.72 31.72
Positions (direct):
Ag  0.500  0.500  0.500
F  0.092  0.092  0.092
F  0.908  0.908  0.908
Li  0.000  0.000  0.000

Computed properties:
Energy relative to the elements, uncorrected in eV per atom: -1.707
Fermi-level density of states in states/eV per cell: 0.00
Energy relative to the lowest polymorph listed for this composition in meV/atom: 251
Energy in eV per atom: -3.8335

=====

Record 5
Compound: NbCdGeH2
Source: the Alexandria database
Functional: PBE
Structure: relaxed

abc: 3.652 6.729 3.652
angles: 90.00 90.00 90.00
Each line ends with the local moment (μB).
Positions (direct):
Nb  0.500  0.500  0.500  1.03
H  0.500  0.000  0.000  0.01
Ge  0.000  0.500  0.000  -0.06
Cd  0.000  0.000  0.000  0.01
H  0.000  0.000  0.500  0.00

Computed properties:
Fermi-level density of states in states/eV per cell: 2.01
Energy in eV per atom: -3.9068

=====

Record 6
Compound: Dy2YTc
Source: the Alexandria database
Functional: PBE
Structure: relaxed

abc: 6.243 7.478 9.154
angles: 90.00 90.00 90.00
Positions (direct):
Dy  0.344  0.176  0.063
Dy  0.156  0.676  0.063
Dy  0.844  0.324  0.563
Dy  0.844  0.324  0.937
Y  0.628  0.542  0.250
Tc  0.952  0.614  0.750
Dy  0.344  0.176  0.437
Tc  0.048  0.386  0.250
Y  0.872  0.042  0.250
Dy  0.656  0.824  0.937
Tc  0.452  0.886  0.250
Dy  0.156  0.676  0.437
Tc  0.548  0.114  0.750
Dy  0.656  0.824  0.563
Y  0.372  0.458  0.750
Y  0.128  0.958  0.750

Computed properties:
Formation energy from the elements in eV per atom: -0.099
Fermi-level density of states in states/eV per cell: 13.91
Energy relative to the lowest polymorph listed for this composition in meV/atom: 0
Energy in eV per atom: -6.6075

=====

Among the records above, which one has the highest energy? LiGaSb2